A plane-wave DFT calculation with PBE-GGA was carried out for a relaxed Rb2UHgO6 crystal.

Output
Volume, Å³ per atom: 17.34
Magnetization, μB per cell: 0.0
ΔE_f (raw), meV/atom: -1771.6
Density of states at the Fermi level, states/eV/atom: 0.40
Calculated total energy, eV/atom: -6.0990

a b c (Å): 5.946 5.946 6.462
angles (deg): 62.60 62.60 90.01
Fractional positions:
Rb: 0.251 0.749 0.500
Rb: 0.749 0.251 0.500
U: 0.500 0.500 0.000
Hg: 0.000 0.000 0.000
O: 0.246 0.755 0.999
O: 0.752 0.752 0.006
O: 0.302 0.303 0.392
O: 0.754 0.245 0.001
O: 0.248 0.248 0.994
O: 0.698 0.697 0.608